Below is a geometry-optimized Na2Tl3InF9 structure, with properties calculated at the PBE level.

Lattice parameters (Å, degrees): 6.2526 6.2526 7.6606 90.00 90.00 120.00
With the nearest neighbours (Å) after each atom.
Element x y z (fractional)
1 F 0.6921 0.8460 0.3327  1 In 2.10, 1 Na 2.19
2 F 0.5000 0.0000 0.0000  2 Na 2.37, 2 Tl 2.51
3 F 0.1540 0.8460 0.3327  1 In 2.10, 1 Na 2.19
4 F 0.8460 0.1540 0.6673  1 In 2.10, 1 Na 2.19
5 F 0.3079 0.1540 0.6673  1 In 2.10, 1 Na 2.19
6 F 0.8460 0.6921 0.6673  1 In 2.10, 1 Na 2.19
7 F 0.1540 0.3079 0.3327  1 In 2.10, 1 Na 2.19
8 F 0.5000 0.5000 0.0000  2 Na 2.37, 2 Tl 2.51
9 F 0.0000 0.5000 0.0000  2 Na 2.37, 2 Tl 2.51
10 Tl 0.0000 0.0000 0.0000  12 F 3.05-3.13
11 Tl 0.6667 0.3333 0.2277  3 F 2.51
12 Tl 0.3333 0.6667 0.7723  3 F 2.51
13 In 0.0000 0.0000 0.5000  6 F 2.10
14 Na 0.6667 0.3333 0.7993  6 F 2.19-2.37
15 Na 0.3333 0.6667 0.2007  6 F 2.19-2.37

Computed properties:
As for the space group: P-3m1, No. 164. For the density of states at the Fermi level, the calculation gives 5.00 states/eV per cell. The calculation puts the formation energy from raw total energies at -2.20 eV per atom.